The following is a PBE calculation of a relaxed La3Ce2YSe6 crystal, from the Alexandria database.

```
La3Ce2YSe6
1.0
-6.2818 2.1777 3.0951
0.3020 -6.3818 -3.6006
3.7812 -1.8297 6.0569
La Se Ce Y
3 6 2 1
Cartesian
-3.2848 -0.1756 4.9983
-1.0993 -3.0169 2.7757
1.0862 -5.8582 0.5531
-1.6318 -0.0555 2.4201
-2.7259 -3.1712 5.3271
-3.5912 -3.6039 1.0760
-0.5668 -5.9782 3.1313
0.5273 -2.8626 0.2243
1.3926 -2.4298 4.4755
-4.0841 -0.6795 0.8601
-1.8957 -3.5246 -1.3656
0.0000 0.0000 0.0000
```

Formation energy (no corrections), eV/atom: -1.9012
Space-group type: C2/m (12)
Spin magnetization, μB per formula unit: 1.88

***

The following is a PBE calculation of a relaxed La2Ce3YSe6 crystal, from the Alexandria database.

```
La2Ce3YSe6
1.0
-2.5308 2.5701 6.3559
3.9323 -6.1581 -0.1496
5.3297 4.8825 -1.2557
La Se Ce Y
2 6 3 1
Cartesian
-0.3714 -0.3461 4.1823
1.7729 -3.2419 2.0240
2.4197 -1.4939 4.4082
4.0150 2.3683 4.7994
0.6238 1.7518 2.2573
4.3116 2.7883 0.5425
2.7162 -1.0738 0.1512
6.1074 -0.4574 2.6933
1.2363 3.5228 4.6186
5.4949 -2.2283 0.3321
3.3656 0.6472 2.4753
0.0000 0.0000 0.0000
```

Formation energy (no corrections), eV/atom: -1.8683
Space-group type: C2/m (12)
Spin magnetization, μB per formula unit: 2.96

***

The following is a PBE calculation of a relaxed LaCe2YSe5 crystal, from the Alexandria database.

```
LaCe2YSe5
1.0
-0.7736 -5.0797 0.1065
4.2262 -0.5836 2.8656
-6.0845 1.1195 9.2015
Se La Ce Y
5 1 2 1
Cartesian
-3.4291 -1.9801 4.6540
1.7263 -2.8317 1.4860
-1.5227 0.2802 2.3028
-4.5618 0.8393 6.8988
-0.9291 0.2680 6.0336
0.0000 0.0000 0.0000
-2.4269 -2.0675 7.7669
-0.2050 -2.4763 4.4067
-3.0423 0.5597 4.6008
```

Formation energy (no corrections), eV/atom: -1.3689
Space-group type: P4/mmm (123)
Spin magnetization, μB per formula unit: 3.57

***

The following is a PBE calculation of a relaxed LaCe2YSe4 crystal, from the Alexandria database.

```
LaCe2YSe4
1.0
-2.2694 3.1255 -1.6034
-6.1433 -3.4440 1.9815
-1.8565 2.1014 6.7237
Y Se La Ce
1 4 1 2
Cartesian
-3.9999 -0.6713 4.3526
-6.1915 -0.4545 2.4231
-4.0777 2.2374 4.6787
-4.2823 2.8104 0.6313
-5.9869 -1.0275 6.4705
-4.2064 -0.1593 0.1891
-2.0629 2.6134 2.5601
-1.8565 2.1014 6.7237
```

Formation energy (no corrections), eV/atom: -1.8482
Space-group type: P2/m (10)
Spin magnetization, μB per formula unit: 2.03

***

The following is a PBE calculation of a relaxed LaCe3Si4 crystal, from the Alexandria database.

```
LaCe3Si4
1.0
3.9290 0.0000 0.0000
0.0000 6.4892 -0.7650
-1.9645 -2.3042 8.3577
Ce Si La
3 4 1
Cartesian
0.0000 3.2446 -0.3825
0.0000 0.3686 3.1265
1.9645 3.8165 4.4662
0.0000 -0.4791 5.9929
1.9645 4.6642 1.5999
1.9645 2.3249 1.8758
0.0000 1.8601 5.7169
1.9645 0.0000 0.0000
```

Formation energy (no corrections), eV/atom: -0.4611
Space-group type: Immm (71)
Spin magnetization, μB per formula unit: 1.06

***

The following is a PBE calculation of a relaxed LaCe4Si2 crystal, from the Alexandria database.

```
LaCe4Si2
1.0
-3.0045 1.7188 1.7934
0.0039 -7.0475 6.7612
6.2231 5.2126 5.4297
Si Ce La
4 8 2
Cartesian
0.5244 0.2622 4.8644
2.6981 -0.3782 9.1199
5.1376 3.0728 5.6621
1.0894 -4.9077 6.5288
4.1545 -2.8957 9.7356
0.5971 -1.8475 2.7712
2.0725 1.0609 2.4553
-0.4605 -2.4684 5.8315
1.0167 -2.9037 8.7235
5.6299 0.0127 9.4197
2.2058 2.7877 5.2607
3.6830 2.3524 8.1527
-1.5022 0.8594 0.8967
3.1135 -0.9174 6.0954
```

Formation energy (no corrections), eV/atom: -0.3539
Space-group type: P4_2/mnm (136)
Spin magnetization, μB per formula unit: 1.57

***

The following is a PBE calculation of a relaxed La2Ce3Si4 crystal, from the Alexandria database.

```
La2Ce3Si4
1.0
-7.2552 1.9749 1.8498
0.8788 -7.5246 2.1432
2.4502 2.3184 7.1350
Ce Si La
6 8 4
Cartesian
-3.1882 -2.7749 1.9965
0.0699 0.2300 5.8921
-3.2453 1.5130 7.7267
-3.9960 -3.4613 5.2359
-0.6808 -4.7444 3.4013
1.6645 -2.6031 4.6391
-5.0636 2.3779 5.5686
-5.6860 -1.7112 3.4939
-0.3442 2.4236 7.8230
1.7599 -1.5201 7.6341
1.1374 -5.6093 5.5594
-1.3864 -2.0628 4.5260
-3.5819 -5.6549 3.3050
-2.5398 -1.1686 6.6021
-3.2945 0.3822 3.8008
-0.6317 -3.6135 7.3272
-0.0100 -0.9299 1.8768
-3.9162 -2.3014 9.2512
```

Formation energy (no corrections), eV/atom: -0.6498
Offset from the most stable computed form, eV/atom: 0.000
Space-group type: P2_1/c (14)
Spin magnetization, μB per formula unit: 3.23

***

The following is a PBE calculation of a relaxed LaCe4Si4 crystal, from the Alexandria database.

```
LaCe4Si4
1.0
-0.2543 -1.7962 5.7320
7.1173 -5.1808 -1.3077
5.3300 6.7302 2.3454
Ce Si La
8 8 2
Cartesian
3.5062 -2.2404 4.7444
5.4189 -3.3776 1.3198
6.8560 3.7092 3.6043
8.5144 0.7758 5.9117
4.5705 2.8976 2.1259
9.7751 -1.1459 4.2428
2.3360 0.3208 4.3724
7.7949 -1.9265 0.7573
6.4372 2.8094 6.4812
7.3781 -2.8124 3.5899
2.4625 0.9483 1.3973
9.9048 0.0367 1.4417
5.5814 -4.2879 4.2192
3.6340 -1.0717 1.9876
8.6389 1.3894 2.9808
4.7350 2.0012 4.9811
0.0000 0.0000 0.0000
6.0965 -0.1234 3.3848
```

Formation energy (no corrections), eV/atom: -0.3729
Space-group type: P4_2/n (86)
Spin magnetization, μB per formula unit: 2.79

***

The following is a PBE calculation of a relaxed La2CeSi6 crystal, from the Alexandria database.

```
La2CeSi6
1.0
-3.2858 2.7633 0.1628
-0.5885 -0.2821 -7.0920
-3.6467 -4.5755 4.0607
Si La Ce
6 2 1
Cartesian
-4.0836 -1.6806 2.7991
-5.6835 -3.3826 -0.6045
-1.8376 1.2883 -2.2641
-3.0436 -0.2248 -0.9211
-4.4775 -1.8695 -1.9474
-3.4375 -0.4137 -5.6677
-2.6273 -3.1444 0.3431
-4.8937 1.0500 -3.2117
-3.6467 -4.5755 4.0607
```

Formation energy (no corrections), eV/atom: -0.6471
Space-group type: P6/mmm (191)
Spin magnetization, μB per formula unit: 0.00

***

The following is a PBE calculation of a relaxed LaCeSi3 crystal, from the Alexandria database.

```
LaCeSi3
1.0
4.0113 0.0000 0.0000
0.0000 4.3461 -0.8310
0.0000 0.1736 12.6886
Si Ce La
6 2 2
Cartesian
3.0085 2.7384 2.5412
3.0085 1.5196 7.9476
1.0028 1.7813 9.3164
1.0028 3.0001 3.9100
3.0085 2.2897 0.1948
1.0028 2.2300 11.6629
1.0028 3.5680 6.8803
3.0085 0.9517 4.9774
1.0028 0.3276 1.7134
3.0085 4.1921 10.1442
```

Formation energy (no corrections), eV/atom: -0.6799
Space-group type: Cmcm (63)
Spin magnetization, μB per formula unit: 0.67

***

The following is a PBE calculation of a relaxed La12Ce3Si5 crystal, from the Alexandria database.

```
La12Ce3Si5
1.0
15.8244 0.0000 0.0000
-5.2748 14.9194 0.0000
-5.2748 -7.4597 12.9206
La Ce Si
48 12 20
Cartesian
6.4070 -1.2908 7.7525
-2.1653 -0.8240 5.9766
5.9901 2.0593 11.9381
7.9673 13.5057 0.4837
-1.9221 -0.1789 10.6459
5.9901 -1.8805 11.6283
2.6925 -2.6041 7.4427
10.6047 -3.4419 7.9264
-5.3299 10.9016 4.9941
-6.4070 3.8303 9.2187
3.7696 6.1689 5.1681
3.3527 9.5190 0.9824
6.7800 11.2900 3.7019
7.9673 4.0178 4.9941
11.6818 3.6294 3.7019
1.9221 -2.0594 11.9381
10.4945 1.4137 0.4837
3.3527 5.5792 1.2922
-3.1095 8.4937 10.1622
6.7800 2.3386 1.4661
2.1653 5.6017 8.7349
-1.1322 8.7505 5.1681
-2.6925 -6.0460 12.4368
-0.4721 1.0340 2.7584
-0.7153 9.3402 1.2922
-2.6925 3.4419 7.9264
-5.9901 0.1789 10.6459
1.5052 1.2908 7.7525
10.0775 0.8240 5.9766
-0.7153 5.4004 0.9824
-5.2197 6.0460 12.4368
5.7469 6.4257 10.1622
7.1969 7.6385 2.2747
3.1095 1.8580 4.1856
0.0551 4.8556 5.4779
-1.5052 -3.8303 9.2187
-4.8027 6.6357 6.9440
-1.5052 5.1211 11.4544
8.3843 -1.0340 2.7584
5.2197 2.6041 7.4427
4.8027 -1.8580 4.1856
1.9221 1.8805 11.6283
11.2649 7.2808 2.2747
0.4721 9.3177 8.7349
2.5823 10.0638 5.4779
-4.1426 12.5808 1.4661
9.4174 -5.1211 11.4544
7.4401 8.2837 6.9440
1.3187 -0.9325 4.8452
-6.5935 7.4597 9.6904
11.8683 0.0000 3.2301
9.2309 4.6623 1.6151
-3.9561 -2.7974 11.3055
-3.9561 2.7974 11.3055
1.3187 7.4597 3.2301
-1.3187 6.5272 8.0754
3.9561 0.0000 9.6904
9.2309 10.2571 1.6151
3.9561 8.3922 8.0754
6.5935 0.9325 4.8452
-1.3187 0.9325 8.0754
7.9122 0.0000 0.0000
1.3187 -3.7298 9.6904
0.0000 0.0000 0.0000
3.9561 11.1895 3.2301
-3.9561 8.3922 4.8452
1.3187 4.6623 11.3055
-1.3187 12.1220 1.6151
9.2309 -0.9325 8.0754
6.5935 -4.6623 11.3055
-5.2748 3.7298 6.4603
6.5935 3.7298 9.6904
2.6374 3.7298 6.4603
-2.6374 -3.7298 6.4603
-1.3187 3.7298 3.2301
-2.6374 7.4597 0.0000
3.9561 2.7974 1.6151
6.5935 6.5272 4.8452
5.2748 -3.7298 6.4603
5.2748 7.4597 0.0000
```

Formation energy (no corrections), eV/atom: 0.2379
Space-group type: Ia-3d (230)
Spin magnetization, μB per formula unit: 9.47

***

The following is a PBE calculation of a relaxed La2CeSi crystal, from the Alexandria database.

```
La2CeSi
1.0
5.3528 0.0000 0.0000
2.6764 4.6356 0.0000
2.6764 1.5452 4.3717
La Si Ce
2 1 1
Cartesian
8.0292 4.6356 3.2806
2.6764 1.5452 1.0911
0.0000 0.0000 0.0000
5.3528 3.0904 2.1859
```

Formation energy (no corrections), eV/atom: -0.0292
Offset from the most stable computed form, eV/atom: 0.238
Space-group type: Fm-3m (225)
Spin magnetization, μB per formula unit: 1.32

***

The following is a PBE calculation of a relaxed LaCe2Si4 crystal, from the Alexandria database.

```
LaCe2Si4
1.0
-2.5581 0.4108 -2.9809
-0.5340 -4.4224 -0.1512
-5.1850 2.6182 7.4268
La Si Ce
1 4 2
Cartesian
-1.2790 0.2054 -1.4904
-4.7627 0.4333 4.1469
-1.1717 -2.1289 0.7122
-7.1054 0.7355 3.5826
-3.5144 -1.8267 0.1478
-5.8129 -1.6176 2.1491
-2.4642 0.2242 2.1456
```

Formation energy (no corrections), eV/atom: -0.6951
Space-group type: Immm (71)
Spin magnetization, μB per formula unit: 1.50

***

The following is a PBE calculation of a relaxed La3CeSi2 crystal, from the Alexandria database.

```
La3CeSi2
1.0
6.3340 0.0000 0.0000
0.0000 6.3124 0.0000
-3.1670 -3.1562 8.4609
Ce Si La
2 4 6
Cartesian
0.0000 1.5781 0.0000
0.0000 4.7343 0.0000
-1.6272 0.0000 6.2370
1.5398 0.0000 2.2240
4.7943 3.1562 2.2240
1.6272 3.1562 6.2370
1.5897 0.0000 5.3782
3.1670 4.7343 0.0000
1.5774 3.1562 3.0827
-1.5897 3.1562 5.3782
3.1670 1.5781 0.0000
4.7567 0.0000 3.0827
```

Formation energy (no corrections), eV/atom: -0.4863
Space-group type: Ibam (72)
Spin magnetization, μB per formula unit: 1.62

***

The following is a PBE calculation of a relaxed La3Ce2Si3 crystal, from the Alexandria database.

```
La3Ce2Si3
1.0
6.3524 0.0000 0.0000
0.0000 7.7720 -4.4871
0.0000 0.0000 8.9743
Si Ce La
6 4 6
Cartesian
4.7643 4.7568 -2.7463
1.5881 3.0152 -1.7408
1.5881 0.0000 3.4816
1.5881 4.7568 2.7463
4.7643 3.0152 1.7408
4.7643 0.0000 5.4927
0.0000 5.1813 0.0000
3.1762 2.5907 4.4871
3.1762 5.1813 0.0000
0.0000 2.5907 4.4871
4.7643 2.0435 -1.1798
1.5881 2.0435 1.1798
4.7643 5.7285 3.3074
1.5881 5.7285 -3.3074
4.7643 0.0000 2.3596
1.5881 0.0000 6.6147
```

Formation energy (no corrections), eV/atom: -0.5448
Space-group type: P6_3/mcm (193)
Spin magnetization, μB per formula unit: 3.67

***

The following is a PBE calculation of a relaxed LaCe2Si2 crystal, from the Alexandria database.

```
LaCe2Si2
1.0
4.1750 0.0000 0.0000
0.0000 7.7874 0.0000
0.0000 0.0000 7.7874
Si Ce La
4 4 2
Cartesian
0.0000 0.8630 3.0307
0.0000 4.7567 0.8630
0.0000 6.9244 4.7567
0.0000 3.0307 6.9244
2.0875 5.2810 6.4001
2.0875 2.5064 1.3873
2.0875 1.3873 5.2810
2.0875 6.4001 2.5064
0.0000 3.8937 3.8937
0.0000 0.0000 0.0000
```

Formation energy (no corrections), eV/atom: -0.5613
Offset from the most stable computed form, eV/atom: 0.000
Space-group type: P4/mbm (127)
Spin magnetization, μB per formula unit: 1.67

***

The following is a PBE calculation of a relaxed La3CeSi4 crystal, from the Alexandria database.

```
La3CeSi4
1.0
4.3371 0.0000 0.0000
0.0000 6.4075 -0.7448
-2.1686 -2.2729 8.3807
Si La Ce
4 3 1
Cartesian
2.1686 2.2695 1.8156
2.1686 4.6148 1.5429
0.0000 -0.4801 6.0931
0.0000 1.8651 5.8204
0.0000 3.2037 -0.3724
0.0000 0.3582 3.0811
2.1686 3.7764 4.5549
2.1686 0.0000 0.0000
```

Formation energy (no corrections), eV/atom: -0.5148
Space-group type: Immm (71)
Spin magnetization, μB per formula unit: 0.55

***

The following is a PBE calculation of a relaxed LaCe2Si2 crystal, from the Alexandria database.

```
LaCe2Si2
1.0
4.0685 0.0000 0.0000
0.0000 5.6817 0.0019
0.0000 -1.4196 11.0299
Ce Si La
4 4 2
Cartesian
3.0514 3.5842 5.1707
1.0171 0.6779 5.8611
3.0514 0.4813 0.8653
1.0171 3.7808 10.1665
3.0514 3.3754 0.3928
1.0171 3.4414 7.2647
1.0171 0.8866 10.6390
3.0514 0.8206 3.7671
3.0514 0.9196 8.3028
1.0171 3.3425 2.7290
```

Formation energy (no corrections), eV/atom: -0.3561
Offset from the most stable computed form, eV/atom: 0.205
Space-group type: P2_1/m (11)
Spin magnetization, μB per formula unit: 0.53

***

no.,electronic total energy (eV per atom),density (g/cm³)
1,-6.40,6.5
2,-6.45,6.5
3,-5.89,5.1
4,-6.50,6.5
5,-6.01,5.4
6,-6.00,6.7
7,-6.13,5.8
8,-5.97,5.7
9,-6.02,5.2
10,-6.11,5.4
11,-4.96,4.9
12,-5.33,6.8
13,-6.19,5.6
14,-5.75,6.0
15,-5.91,5.9
16,-6.09,6.2
17,-5.82,4.9
18,-5.88,6.2